1.
Compound: BiSb3Pb12
Source: the Alexandria database
Functional: PBE
Structure: optimized geometry

Unit cell a=5.064 b=5.064 c=19.385 alpha=90.00 beta=90.00 gamma=90.00
Space group P4/mmm (No. 123)
Inequivalent atoms, fractional coordinates:
Bi 0.000 0.000 0.000 (multiplicity 1)
Sb 0.000 0.000 0.253 (multiplicity 2)
Sb 0.000 0.000 0.500 (multiplicity 1)
Pb 0.000 0.500 0.127 (multiplicity 4)
Pb 0.000 0.500 0.376 (multiplicity 4)
Pb 0.500 0.500 0.000 (multiplicity 1)
Pb 0.500 0.500 0.251 (multiplicity 2)
Pb 0.500 0.500 0.500 (multiplicity 1)

Computed properties:
M_tot (μB per formula unit): 0.00
Uncorrected formation energy (eV/atom): 0.030
Calculated volume (Å³ per atom): 31.07

2.
Compound: Na2LiMgPt
Source: the Alexandria database
Functional: PBE
Structure: optimized geometry

Unit cell a=4.652 b=4.652 c=5.085 alpha=90.00 beta=90.00 gamma=90.00
Space group P4/mmm (No. 123)
Inequivalent atoms, fractional coordinates:
Na 0.000 0.500 0.000 (multiplicity 2)
Li 0.000 0.000 0.000 (multiplicity 1)
Mg 0.000 0.000 0.500 (multiplicity 1)
Pt 0.500 0.500 0.500 (multiplicity 1)

Computed properties:
M_tot (μB per formula unit): 0.00
Formation energy (eV/f.u.): 2.559
Calculated volume (Å³ per atom): 22.01

3.
Compound: HfTi3Ni
Source: the Alexandria database
Functional: PBE
Structure: optimized geometry

Unit cell a=4.773 b=4.773 c=4.773 alpha=90.00 beta=90.00 gamma=90.00
Space group Pm-3m (No. 221)
Inequivalent atoms, fractional coordinates:
Hf 0.000 0.000 0.000 (multiplicity 1)
Ti 0.000 0.000 0.500 (multiplicity 3)
Ni 0.500 0.500 0.500 (multiplicity 1)

Computed properties:
M_tot (μB per formula unit): 0.02
ΔE to the lowest computed polymorph (eV/atom): 1.335
Formation energy (eV/f.u.): 7.378
Calculated volume (Å³ per atom): 21.75

4.
Compound: CoRu2Au
Source: the Alexandria database
Functional: PBE
Structure: optimized geometry

Unit cell a=2.7208 b=2.7208 c=26.8191 alpha=90.00 beta=90.00 gamma=120.00
Space group R-3m (No. 166, hexagonal axes)
Inequivalent atoms, fractional coordinates:
Co 0.0000 0.0000 0.0000 (multiplicity 3)
Ru 0.0000 0.0000 0.2586 (multiplicity 6)
Au 0.0000 0.0000 0.5000 (multiplicity 3)

Computed properties:
M_tot (μB per formula unit): 1.72
ΔE to the lowest computed polymorph (eV/atom): 0.080
Formation energy (eV/f.u.): 1.316
Calculated volume (Å³ per atom): 14.33

5.
Compound: Al2TlRu
Source: the Alexandria database
Functional: PBE
Structure: optimized geometry

Unit cell a=6.491 b=6.491 c=6.491 alpha=90.00 beta=90.00 gamma=90.00
Space group Fm-3m (No. 225)
Inequivalent atoms, fractional coordinates:
Al 0.250 0.250 0.250 (multiplicity 8)
Tl 0.000 0.000 0.000 (multiplicity 4)
Ru 0.000 0.000 0.500 (multiplicity 4)

Computed properties:
M_tot (μB per formula unit): 0.00
ΔE to the lowest computed polymorph (eV/atom): 0.552
Formation energy (eV/f.u.): 1.261
Calculated volume (Å³ per atom): 17.09

6.
Compound: CeZrNiIr
Source: the Alexandria database
Functional: PBE
Structure: optimized geometry

Unit cell a=6.732 b=6.732 c=6.732 alpha=90.00 beta=90.00 gamma=90.00
Space group F-43m (No. 216)
Inequivalent atoms, fractional coordinates:
Ce 0.000 0.000 0.000 (multiplicity 4)
Zr 0.000 0.000 0.500 (multiplicity 4)
Ni 0.250 0.250 0.250 (multiplicity 4)
Ir 0.250 0.250 0.750 (multiplicity 4)

Computed properties:
M_tot (μB per formula unit): 0.26
Formation energy (eV/f.u.): -1.760
Calculated volume (Å³ per atom): 19.06

7.
Compound: LiCrRe4
Source: the Alexandria database
Functional: PBE
Structure: optimized geometry

Unit cell a=7.286 b=7.286 c=7.286 alpha=90.00 beta=90.00 gamma=90.00
Space group F-43m (No. 216)
Inequivalent atoms, fractional coordinates:
Li 0.000 0.000 0.000 (multiplicity 4)
Cr 0.250 0.250 0.250 (multiplicity 4)
Re 0.125 0.125 0.625 (multiplicity 16)

Computed properties:
M_tot (μB per formula unit): 1.81
Formation energy (eV/f.u.): 2.868
Calculated volume (Å³ per atom): 16.12

8.
Compound: Li3La2HfSe6
Source: the Alexandria database
Functional: PBE
Structure: optimized geometry

Unit cell a=7.136 b=12.444 c=6.901 alpha=90.00 beta=109.68 gamma=90.00
Space group C2/m (No. 12)
Inequivalent atoms, fractional coordinates:
Li 0.000 0.000 0.000 (multiplicity 2)
Li 0.000 0.350 0.000 (multiplicity 4)
La 0.000 0.169 0.500 (multiplicity 4)
Hf 0.000 0.500 0.500 (multiplicity 2)
Se 0.226 0.500 0.251 (multiplicity 4)
Se 0.237 0.349 0.759 (multiplicity 8)

Computed properties:
M_tot (μB per formula unit): 0.00
Uncorrected formation energy (eV/atom): -1.545
Calculated volume (Å³ per atom): 24.04